# 1
The following is a PBE-GGA calculation of a relaxed AlAgHgF6 crystal, from the Alexandria database.

- Uncorrected formation energy: -2.2602 eV per atom
- Crystal system: trigonal
- Size of the total moment: 0.01 μB/atom
- Symmetry: P-31c, No. 163

POSCAR file:
```
AlAgHgF6
1.0
5.710 0.000 0.000
-2.855 4.945 0.000
0.000 0.000 9.557
Al Ag Hg F
2 2 2 12
Cartesian
0.000 3.297 2.389
2.855 1.648 7.168
0.000 0.000 0.000
0.000 0.000 4.779
0.000 3.297 7.168
2.855 1.648 2.389
-0.779 1.996 1.347
-1.516 3.272 3.431
0.779 1.996 3.431
-0.737 4.623 1.347
2.118 0.323 6.126
1.339 1.673 8.210
1.516 3.272 1.347
0.737 4.623 3.431
3.592 0.323 8.210
2.076 2.949 6.126
4.372 1.673 6.126
3.635 2.949 8.210
```



# 2
The following is a PBE-GGA calculation of a relaxed AlAg2HgF6 crystal, from the Alexandria database.

- Uncorrected formation energy: -1.9967 eV per atom
- Crystal system: triclinic
- Size of the total moment: 0.00 μB/atom
- Symmetry: P-1, No. 2

POSCAR file:
```
AlAg2HgF6
1.0
5.487 0.000 0.000
1.818 5.255 0.000
2.443 -0.723 4.966
Al Ag Hg F
1 2 1 6
Cartesian
0.000 0.000 0.000
4.656 3.367 1.528
5.092 1.165 3.438
2.131 2.266 2.483
1.469 1.011 0.369
2.646 -0.305 3.168
5.321 3.060 4.762
4.428 1.473 0.203
7.103 4.837 1.798
8.280 3.522 4.597
```



# 3
The following is a PBE-GGA calculation of a relaxed AlInAgF2 crystal, from the Alexandria database.

- Uncorrected formation energy: -1.3872 eV per atom
- Crystal system: tetragonal
- Size of the total moment: 0.10 μB/atom
- Symmetry: P4/mmm, No. 123

POSCAR file:
```
AlInAgF2
1.0
3.807 0.000 0.000
0.000 3.807 0.000
0.000 0.000 6.132
Al In Ag F
1 1 1 2
Cartesian
0.000 0.000 0.000
0.000 0.000 3.066
1.903 1.903 3.066
0.000 1.903 0.000
1.903 0.000 0.000
```



# 4
The following is a PBE-GGA calculation of a relaxed KAlAgF6 crystal, from the Alexandria database.

- Uncorrected formation energy: -2.5991 eV per atom
- Crystal system: triclinic
- Size of the total moment: 0.11 μB/atom
- Symmetry: P1, No. 1

POSCAR file:
```
KAlAgF6
1.0
5.500 0.000 0.000
-0.078 5.502 0.000
-2.524 -0.113 4.891
K Al Ag F
1 1 1 6
Cartesian
0.000 0.000 0.000
0.097 2.678 3.269
2.799 2.715 1.617
-0.742 3.646 1.899
-1.270 1.542 3.273
-0.535 3.801 4.496
0.954 1.630 1.973
1.633 3.748 3.113
0.946 1.710 4.639
```



# 5
The following is a PBE-GGA calculation of a relaxed KAl2AgF8 crystal, from the Alexandria database.

- Uncorrected formation energy: -2.9434 eV per atom
- Crystal system: trigonal
- Size of the total moment: 0.01 μB/atom
- Symmetry: R-3, No. 148

POSCAR file:
```
KAl2AgF8
1.0
2.786 1.609 7.294
-2.786 1.609 7.294
0.000 -3.217 7.294
K Al Ag F
1 2 1 8
Cartesian
0.000 0.000 0.000
0.000 0.000 5.523
0.000 0.000 16.360
0.000 0.000 10.941
-1.168 -1.780 9.562
-2.126 0.121 12.321
0.000 0.000 7.223
-0.958 1.901 9.562
0.958 -1.902 12.321
0.000 0.000 14.660
2.126 -0.121 9.562
1.168 1.780 12.321
```



# 6
The following is a PBE-GGA calculation of a relaxed K2Al3AgF12 crystal, from the Alexandria database.

- Uncorrected formation energy: -3.1453 eV per atom
- Crystal system: trigonal
- Size of the total moment: 0.01 μB/atom
- Symmetry: R-3m, No. 166

POSCAR file:
```
K2Al3AgF12
1.0
3.553 2.051 5.885
-3.553 2.051 5.885
0.000 -4.103 5.885
K Al Ag F
2 3 1 12
Cartesian
0.000 0.000 2.245
0.000 0.000 15.411
-1.777 -1.026 5.885
-1.777 1.026 11.771
0.000 2.051 5.885
0.000 0.000 8.828
-1.925 -1.111 7.656
0.000 -1.548 6.023
-1.341 0.774 6.023
0.000 -2.223 10.000
-1.925 1.111 10.000
-1.341 -0.774 11.633
1.341 0.774 6.023
1.925 -1.111 7.656
0.000 2.223 7.656
1.341 -0.774 11.633
0.000 1.548 11.633
1.925 1.111 10.000
```



# 7
The following is a PBE-GGA calculation of a relaxed K3AlAg3F8 crystal, from the Alexandria database.

- Uncorrected formation energy: -2.1831 eV per atom
- Crystal system: trigonal
- Size of the total moment: 0.00 μB/atom
- Symmetry: R-3m, No. 166

POSCAR file:
```
K3AlAg3F8
1.0
3.668 2.117 6.025
-3.668 2.117 6.025
0.000 -4.235 6.025
K Al Ag F
3 1 3 8
Cartesian
-1.834 -1.059 6.025
-1.834 1.059 12.051
0.000 2.117 6.025
0.000 0.000 9.038
-3.668 0.000 9.038
-1.834 1.059 3.013
1.834 1.059 3.013
0.000 0.000 4.469
0.000 -1.498 7.950
-1.297 0.749 7.950
-1.297 -0.749 10.127
1.297 0.749 7.950
1.297 -0.749 10.127
0.000 1.498 10.127
0.000 0.000 13.608
```



# 8
The following is a PBE-GGA calculation of a relaxed Li2AlAgF6 crystal, from the Alexandria database.

- Uncorrected formation energy: -2.7942 eV per atom
- Crystal system: triclinic
- Size of the total moment: 0.01 μB/atom
- Symmetry: P1, No. 1

POSCAR file:
```
Li2AlAgF6
1.0
5.293 0.000 0.000
-2.645 4.589 0.000
-0.007 -3.049 4.829
Li Al Ag F
2 1 1 6
Cartesian
0.000 0.000 0.000
-0.003 3.061 2.215
2.644 1.531 0.436
-0.006 0.008 3.096
-1.104 1.640 1.407
1.207 -1.767 4.121
1.964 0.137 1.404
0.924 1.954 4.124
1.775 2.814 1.403
3.141 -0.155 4.125
```